Below is Be2CdTc2 after structural relaxation, with properties calculated at the PBE-GGA level.

POSCAR file:
```
Be2CdTc2
1.0
6.913 0.000 0.000
0.000 6.913 0.000
0.000 0.000 2.924
Be Cd Tc
4 2 4
direct
0.173 0.673 0.500
0.327 0.173 0.500
0.673 0.827 0.500
0.827 0.327 0.500
0.500 0.500 0.000
0.000 0.000 0.000
0.118 0.382 0.000
0.382 0.882 0.000
0.618 0.118 0.000
0.882 0.618 0.000
```

- Mass density: 7.8 g cm⁻³
- Total magnetization: 0.00 μB per atom
- DOS(E_F): 0.260 states/eV/atom
- Calculated formation energy: 0.27 eV/atom